(1)
The following is a PBE calculation of crystalline Sr4Li3Hg at its relaxed geometry, from Alexandria.

Output
density of states at the Fermi level: 5.00 states/eV per cell
ΔH_f (0 K): -13 kJ per mole of atoms
final energy: -13.83 eV per cell

Unit cell a=4.711 b=4.919 c=12.758 alpha=90.00 beta=90.00 gamma=90.00
Space group Pmm2 (No. 25)
One atom of each set of equivalent atoms:
Sr 0.000 0.000 0.000 (multiplicity 1)
Sr 0.000 0.500 0.277 (multiplicity 1)
Sr 0.500 0.000 0.480 (multiplicity 1)
Sr 0.500 0.500 0.785 (multiplicity 1)
Li 0.000 0.000 0.700 (multiplicity 1)
Li 0.000 0.500 0.570 (multiplicity 1)
Li 0.500 0.500 0.079 (multiplicity 1)
Hg 0.500 0.000 0.200 (multiplicity 1)

***

(2)
The following is a PBE calculation of crystalline GeBi2Au5 at its relaxed geometry, from Alexandria.

Output
density of states at the Fermi level: 3.77 states/eV per cell
ΔH_f (0 K): 0 kJ per mole of atoms
final energy: -28.77 eV per cell

Unit cell a=5.744 b=5.746 c=5.893 alpha=102.81 beta=102.79 gamma=105.39
Space group P1 (No. 1)
One atom of each set of equivalent atoms:
Ge 0.000 0.000 0.000 (multiplicity 1)
Bi 0.561 0.957 0.448 (multiplicity 1)
Bi 0.957 0.562 0.449 (multiplicity 1)
Au 0.105 0.578 0.976 (multiplicity 1)
Au 0.134 0.135 0.637 (multiplicity 1)
Au 0.382 0.382 0.328 (multiplicity 1)
Au 0.579 0.108 0.975 (multiplicity 1)
Au 0.584 0.586 0.891 (multiplicity 1)

***

(3)
The following is a PBE calculation of crystalline VGeC3 at its relaxed geometry, from Alexandria.

Output
density of states at the Fermi level: 3.89 states/eV per cell
ΔH_f (0 K): 173 kJ per mole of atoms
excess energy over the best structure of this formula in the dataset: 0.0000 eV per atom
final energy: -32.45 eV per cell

Unit cell a=3.951 b=3.951 c=3.951 alpha=90.00 beta=90.00 gamma=90.00
Space group Pm-3m (No. 221)
One atom of each set of equivalent atoms:
V 0.000 0.000 0.000 (multiplicity 1)
Ge 0.500 0.500 0.500 (multiplicity 1)
C 0.000 0.000 0.500 (multiplicity 3)

***

(4)
The following is a PBE calculation of crystalline NaLi4H2 at its relaxed geometry, from Alexandria.

Output
density of states at the Fermi level: 4.61 states/eV per cell
final energy: -26.08 eV per cell

Unit cell a=4.838 b=4.838 c=11.310 alpha=90.00 beta=90.00 gamma=90.00
Space group I4/mmm (No. 139)
One atom of each set of equivalent atoms:
Na 0.000 0.000 0.000 (multiplicity 2)
Li 0.000 0.000 0.266 (multiplicity 4)
Li 0.000 0.500 0.000 (multiplicity 4)
H 0.000 0.000 0.420 (multiplicity 4)

***

(5)
The following is a PBE calculation of crystalline NiMo2Se at its relaxed geometry, from Alexandria.

Output
density of states at the Fermi level: 2.57 states/eV per cell
final energy: -29.80 eV per cell
uncorrected formation energy: 0.281 eV per atom

Unit cell a=2.952 b=3.929 c=5.333 alpha=90.00 beta=104.73 gamma=90.00
Space group P2/m (No. 10)
One atom of each set of equivalent atoms:
Ni 0.000 0.000 0.000 (multiplicity 1)
Mo 0.438 0.500 0.758 (multiplicity 2)
Se 0.000 0.000 0.500 (multiplicity 1)

***

(6)
The following is a PBE calculation of crystalline LiTmPdRh at its relaxed geometry, from Alexandria.

Output
density of states at the Fermi level: 2.08 states/eV per cell
ΔH_f (0 K): -66 kJ per mole of atoms
excess energy over the best structure of this formula in the dataset: 0.0000 eV per atom
final energy: -21.66 eV per cell

Unit cell a=3.700 b=4.110 c=4.374 alpha=90.00 beta=90.00 gamma=90.00
Space group Pmmm (No. 47)
One atom of each set of equivalent atoms:
Li 0.000 0.000 0.000 (multiplicity 1)
Tm 0.000 0.500 0.500 (multiplicity 1)
Pd 0.500 0.500 0.000 (multiplicity 1)
Rh 0.500 0.000 0.500 (multiplicity 1)